# Pr2NdThS4 PBE-GGA optimized geometry
# * N(E_F): 3.4 states/eV/cell
# * E: -6.75 eV per atom
# * formation energy from raw total energies: -190.32 kJ per mole of atoms
data_Pr2NdThS4
_symmetry_space_group_name_H-M 'P 1 2/m 1'
_symmetry_Int_Tables_number 10
_cell_length_a 7.073
_cell_length_b 4.065
_cell_length_c 7.073
_cell_angle_alpha 90.00
_cell_angle_beta 109.35
_cell_angle_gamma 90.00
loop_
_symmetry_equiv_pos_as_xyz
'x,y,z'
'-x,-y,-z'
'-x,y,-z'
'x,-y,z'
loop_
_atom_site_label
_atom_site_type_symbol
_atom_site_fract_x
_atom_site_fract_y
_atom_site_fract_z
Pr1 Pr 0.000 0.000 0.000
Pr2 Pr 0.500 0.500 0.000
Nd1 Nd 0.000 0.500 0.500
Th1 Th 0.500 0.000 0.500
S1 S 0.250 0.000 0.746
S2 S 0.252 0.500 0.255

# TbGdInOs PBE-GGA optimized geometry
# * N(E_F): 9.8 states/eV/cell
# * E: -8.38 eV per atom
# * formation enthalpy at 0 K: -0.210 eV per atom
data_TbGdInOs
_symmetry_space_group_name_H-M 'F -4 3 m'
_symmetry_Int_Tables_number 216
_symmetry_space_group_name_Hall 'F -4 2 3'
_cell_length_a 7.178
_cell_length_b 7.178
_cell_length_c 7.178
_cell_angle_alpha 90.00
_cell_angle_beta 90.00
_cell_angle_gamma 90.00
loop_
_atom_site_label
_atom_site_type_symbol
_atom_site_fract_x
_atom_site_fract_y
_atom_site_fract_z
Tb1 Tb 0.000 0.000 0.000
Gd1 Gd 0.000 0.000 0.500
In1 In 0.250 0.250 0.250
Os1 Os 0.250 0.250 0.750

# Tb4PmIn5 PBE-GGA optimized geometry
# * N(E_F): 5.9 states/eV/cell
# * E: -4.18 eV per atom
# * formation enthalpy at 0 K: -0.481 eV per atom
data_Tb4PmIn5
_symmetry_space_group_name_H-M 'P 4/m m m'
_symmetry_Int_Tables_number 123
_symmetry_space_group_name_Hall '-P 4 2'
_cell_length_a 3.784
_cell_length_b 3.784
_cell_length_c 18.996
_cell_angle_alpha 90.00
_cell_angle_beta 90.00
_cell_angle_gamma 90.00
loop_
_atom_site_label
_atom_site_type_symbol
_atom_site_fract_x
_atom_site_fract_y
_atom_site_fract_z
Tb1 Tb 0.000 0.000 0.099
Tb2 Tb 0.000 0.000 0.296
Pm1 Pm 0.000 0.000 0.500
In1 In 0.500 0.500 0.000
In2 In 0.500 0.500 0.198
In3 In 0.500 0.500 0.395

# CaTa2Be2 PBE-GGA optimized geometry
# * N(E_F): 9.3 states/eV/cell
# * E: -6.23 eV per atom
# * formation enthalpy at 0 K: 0.398 eV per atom
data_CaTa2Be2
_symmetry_space_group_name_H-M 'P 4/m b m'
_symmetry_Int_Tables_number 127
_symmetry_space_group_name_Hall '-P 4 2ab'
_cell_length_a 7.617
_cell_length_b 7.617
_cell_length_c 2.879
_cell_angle_alpha 90.00
_cell_angle_beta 90.00
_cell_angle_gamma 90.00
loop_
_atom_site_label
_atom_site_type_symbol
_atom_site_fract_x
_atom_site_fract_y
_atom_site_fract_z
Ca1 Ca 0.000 0.000 0.000
Ta1 Ta 0.131 0.369 0.500
Be1 Be 0.164 0.664 0.000

# Ca3VMo PBE-GGA optimized geometry
# * N(E_F): 9.5 states/eV/cell
# * E: -3.89 eV per atom
# * formation enthalpy at 0 K: 1.303 eV per atom
data_Ca3VMo
_symmetry_space_group_name_H-M 'P m -3 m'
_symmetry_Int_Tables_number 221
_symmetry_space_group_name_Hall '-P 4 2 3'
_cell_length_a 5.443
_cell_length_b 5.443
_cell_length_c 5.443
_cell_angle_alpha 90.00
_cell_angle_beta 90.00
_cell_angle_gamma 90.00
loop_
_atom_site_label
_atom_site_type_symbol
_atom_site_fract_x
_atom_site_fract_y
_atom_site_fract_z
Ca1 Ca 0.000 0.000 0.500
V1 V 0.500 0.500 0.500
Mo1 Mo 0.000 0.000 0.000

# MgMnCr PBE-GGA optimized geometry
# * N(E_F): 2.7 states/eV/cell
# * E: -6.39 eV per atom
# * formation enthalpy at 0 K: 0.403 eV per atom
data_MgMnCr
_symmetry_space_group_name_H-M 'P 3 m 1'
_symmetry_Int_Tables_number 156
_cell_length_a 4.1789
_cell_length_b 4.1789
_cell_length_c 2.5701
_cell_angle_alpha 90.00
_cell_angle_beta 90.00
_cell_angle_gamma 120.00
loop_
_symmetry_equiv_pos_as_xyz
'x,y,z'
'-y,x-y,z'
'-x+y,-x,z'
'-y,-x,z'
'-x+y,y,z'
'x,x-y,z'
loop_
_atom_site_label
_atom_site_type_symbol
_atom_site_fract_x
_atom_site_fract_y
_atom_site_fract_z
Mg1 Mg 0.0000 0.0000 0.0000
Mn1 Mn 0.3333 0.6667 0.3830
Cr1 Cr 0.6667 0.3333 0.6044